# Sc2W3O12 | Alexandria via LeMat-Bulk | GGA+U | optimized geometry
# Size of the total moment (Bohr magnetons per cell): 0.000
# Relative energy among the computed polymorphs (eV per atom): 0.0000
# Final energy (eV for the cell shown): -541.1
data_Sc2W3O12
_space_group_name_H-M_alt 'P b c n'
_space_group_IT_number 60
_cell_length_a 13.6736
_cell_length_b 9.7715
_cell_length_c 9.8638
_cell_angle_alpha 90.00
_cell_angle_beta 90.00
_cell_angle_gamma 90.00
loop_
_space_group_symop_operation_xyz
'x,y,z'
'-x,-y,-z'
'-x+1/2,-y+1/2,z+1/2'
'x+1/2,y+1/2,-z+1/2'
'x+1/2,-y+1/2,-z'
'-x+1/2,y+1/2,z'
'-x,y,-z+1/2'
'x,-y,z+1/2'
loop_
_atom_site_label
_atom_site_type_symbol
_atom_site_fract_x
_atom_site_fract_y
_atom_site_fract_z
Sc1 Sc 0.1179 0.2497 0.0324
W1 W 0.0000 0.0264 0.7500
W2 W 0.1440 0.3919 0.3856
O1 O 0.0285 0.3176 0.4353
O2 O 0.0656 0.1330 0.8693
O3 O 0.0869 0.0813 0.1614
O4 O 0.1401 0.4247 0.9128
O5 O 0.1633 0.3585 0.2068
O6 O 0.2412 0.3168 0.4862